1.
ZnPd2O: optimized geometry, PBE.

Calculated values
- ΔE_f (raw): 0.00 eV/atom
- Volume: 17.41 Å³ per atom
- Distance to the lowest polymorph of the same formula: 0.000 eV/f.u.

Cell: 4.7059 4.7059 12.5762 Å, 90.00 90.00 90.00°
Space group I-42d (No. 122)
One atom of each set of equivalent atoms:
Zn: 0.0000 0.0000 0.0000 x4
Pd: 0.1341 0.2500 0.6250 x8
O: 0.0000 0.0000 0.5000 x4

2.
Rb3SbO4: optimized geometry, PBE.

Calculated values
- ΔE_f (raw): -1.51 eV/atom
- Volume: 25.51 Å³ per atom
- Distance to the lowest polymorph of the same formula: 0.339 eV/f.u.

Cell: 6.6071 8.9322 6.9172 Å, 90.00 90.00 90.00°
Space group Imm2 (No. 44)
One atom of each set of equivalent atoms:
Rb: 0.0000 0.0000 0.0000 x2
Rb: 0.0000 0.2333 0.5330 x4
Sb: 0.0000 0.5000 0.0581 x2
O: 0.0000 0.3211 0.9062 x4
O: 0.2369 0.5000 0.2159 x4

3.
NaGdGaPb: optimized geometry, PBE.

Calculated values
- Volume: 25.97 Å³ per atom
- E_form: -0.268 eV per atom

Cell: 7.4622 7.4622 7.4622 Å, 90.00 90.00 90.00°
Space group F-43m (No. 216)
One atom of each set of equivalent atoms:
Na: 0.0000 0.0000 0.0000 x4
Gd: 0.0000 0.0000 0.5000 x4
Ga: 0.2500 0.2500 0.2500 x4
Pb: 0.2500 0.2500 0.7500 x4

4.
TiZnBr3: optimized geometry, PBE.

Calculated values
- ΔE_f (raw): -0.06 eV/atom
- Volume: 27.55 Å³ per atom
- Distance to the lowest polymorph of the same formula: 2.633 eV/f.u.

Cell: 5.1644 5.1644 5.1644 Å, 90.00 90.00 90.00°
Space group Pm-3m (No. 221)
One atom of each set of equivalent atoms:
Ti: 0.0000 0.0000 0.0000 x1
Zn: 0.5000 0.5000 0.5000 x1
Br: 0.0000 0.5000 0.5000 x3

5.
DyNiGe2Ir2: optimized geometry, PBE.

Calculated values
- Volume: 17.76 Å³ per atom
- E_form: -0.213 eV per atom

Cell: 4.4209 4.4209 5.4524 Å, 90.00 90.00 90.00°
Space group P4/mmm (No. 123)
One atom of each set of equivalent atoms:
Dy: 0.0000 0.0000 0.0000 x1
Ni: 0.0000 0.0000 0.5000 x1
Ge: 0.0000 0.5000 0.5000 x2
Ir: 0.5000 0.5000 0.2331 x2

6.
MgAuCl2: optimized geometry, PBE.

Calculated values
- ΔE_f (raw): -0.99 eV/atom
- Volume: 27.22 Å³ per atom
- Distance to the lowest polymorph of the same formula: 0.000 eV/f.u.

Cell: 3.3844 3.3844 32.9234 Å, 90.00 90.00 120.00°
Space group R-3m (No. 166, hexagonal axes)
One atom of each set of equivalent atoms:
Mg: 0.0000 0.0000 0.0000 x3
Au: 0.0000 0.0000 0.5000 x3
Cl: 0.0000 0.0000 0.3782 x6

7.
NiHPd3: optimized geometry, PBE.

Calculated values
- Volume: 12.02 Å³ per atom
- Distance to the lowest polymorph of the same formula: 0.000 eV/f.u.

Cell: 2.8449 2.8449 7.4274 Å, 90.00 90.00 90.00°
Space group P4/mmm (No. 123)
One atom of each set of equivalent atoms:
Ni: 0.0000 0.0000 0.0000 x1
H: 0.5000 0.5000 0.5000 x1
Pd: 0.0000 0.0000 0.5000 x1
Pd: 0.5000 0.5000 0.2197 x2

> What is the formula in the first record?

ZnPd2O

> Which of these has the lowest volume?

NiHPd3

> Which of these has the highest volume?

TiZnBr3

> Number 7 is which compound?

NiHPd3